Entry 1:
Here is ScTiSe2Br after structural relaxation from the Alexandria database. Energies are from PBE-GGA.

Cell lengths 5.170, 5.170, 5.079 Å; angles 90.00, 90.00, 90.00 degrees
Element x y z (fractional)
Ti (0.500, 0.500, 0.500)
Se (0.000, 0.500, 0.000)
Se (0.500, 0.000, 0.000)
Br (0.000, 0.000, 0.500)
Sc (0.000, 0.000, 0.000)

Calculated values
As for the density of states at the Fermi level: 2.004 states/eV/atom. Its energy above the most stable polymorph in this dataset is 1.23 eV per formula unit. As for the uncorrected formation energy: -34.2 kJ per mole of atoms.

***

Entry 2:
Here is ScTiSeBr2 after structural relaxation from the Alexandria database. Energies are from PBE-GGA.

Cell lengths 5.098, 5.098, 5.099 Å; angles 90.00, 90.00, 90.00 degrees
Element x y z (fractional)
Br (0.000, 0.500, 0.000)
Se (0.000, 0.000, 0.500)
Sc (0.500, 0.500, 0.500)
Br (0.500, 0.000, 0.000)
Ti (0.000, 0.000, 0.000)

Calculated values
As for the density of states at the Fermi level: 1.107 states/eV/atom. Its energy above the most stable polymorph in this dataset is 0.00 eV per formula unit. As for the uncorrected formation energy: -49.9 kJ per mole of atoms.

***

Entry 3:
Here is ScTiSeBr2 after structural relaxation from the Alexandria database. Energies are from PBE-GGA.

Cell lengths 5.209, 5.209, 5.277 Å; angles 90.00, 90.00, 90.00 degrees
Element x y z (fractional)
Se (0.000, 0.000, 0.500)
Br (0.500, 0.000, 0.000)
Sc (0.000, 0.000, 0.000)
Ti (0.500, 0.500, 0.500)
Br (0.000, 0.500, 0.000)

Calculated values
As for the density of states at the Fermi level: 1.577 states/eV/atom. Its energy above the most stable polymorph in this dataset is 0.09 eV per formula unit. As for the uncorrected formation energy: -48.1 kJ per mole of atoms.

***

Entry 4:
Here is ScTi2SeBr after structural relaxation from the Alexandria database. Energies are from PBE-GGA.

Cell lengths 4.661, 5.092, 4.661 Å; angles 90.00, 90.00, 90.00 degrees
Element x y z (fractional)
Ti (0.500, 0.000, 0.000)
Br (0.000, 0.000, 0.000)
Se (0.500, 0.500, 0.500)
Sc (0.000, 0.500, 0.000)
Ti (0.000, 0.000, 0.500)

Calculated values
As for the density of states at the Fermi level: 1.158 states/eV/atom. As for the uncorrected formation energy: 27.8 kJ per mole of atoms.

***

Entry 5:
Here is ScTlSe2Br after structural relaxation from the Alexandria database. Energies are from PBE-GGA.

Cell lengths 5.368, 5.368, 5.441 Å; angles 90.00, 90.00, 90.00 degrees
Element x y z (fractional)
Se (0.500, 0.000, 0.000)
Se (0.000, 0.500, 0.000)
Sc (0.500, 0.500, 0.500)
Tl (0.000, 0.000, 0.000)
Br (0.000, 0.000, 0.500)

Calculated values
As for the density of states at the Fermi level: 1.117 states/eV/atom. Its energy above the most stable polymorph in this dataset is 5.24 eV per formula unit. As for the uncorrected formation energy: 8.8 kJ per mole of atoms.

***

Entry 6:
Here is ScTlSeBr2 after structural relaxation from the Alexandria database. Energies are from PBE-GGA.

Cell lengths 5.680, 5.680, 5.373 Å; angles 90.00, 90.00, 90.00 degrees
Element x y z (fractional)
Br (0.500, 0.000, 0.000)
Se (0.000, 0.000, 0.500)
Sc (0.500, 0.500, 0.500)
Br (0.000, 0.500, 0.000)
Tl (0.000, 0.000, 0.000)

Calculated values
As for the density of states at the Fermi level: 1.088 states/eV/atom. Its energy above the most stable polymorph in this dataset is 5.87 eV per formula unit. As for the uncorrected formation energy: -3.9 kJ per mole of atoms.

***

Entry 7:
Here is ScTlSeBr2 after structural relaxation from the Alexandria database. Energies are from PBE-GGA.

Cell lengths 5.422, 5.422, 5.187 Å; angles 90.00, 90.00, 90.00 degrees
Element x y z (fractional)
Br (0.500, 0.000, 0.000)
Sc (0.000, 0.000, 0.000)
Br (0.000, 0.500, 0.000)
Se (0.000, 0.000, 0.500)
Tl (0.500, 0.500, 0.500)

Calculated values
Its energy above the most stable polymorph in this dataset is 0.00 eV per formula unit. As for the uncorrected formation energy: -117.2 kJ per mole of atoms.

***

Entry 8:
Here is ScTlSe2Br after structural relaxation from the Alexandria database. Energies are from PBE-GGA.

Cell lengths 5.186, 5.186, 5.545 Å; angles 90.00, 90.00, 90.00 degrees
Element x y z (fractional)
Br (0.000, 0.000, 0.500)
Se (0.000, 0.500, 0.000)
Sc (0.000, 0.000, 0.000)
Tl (0.500, 0.500, 0.500)
Se (0.500, 0.000, 0.000)

Calculated values
As for the density of states at the Fermi level: 1.077 states/eV/atom. Its energy above the most stable polymorph in this dataset is 0.00 eV per formula unit. As for the uncorrected formation energy: -92.3 kJ per mole of atoms.

***

Entry 9:
Here is ScV2SeBr after structural relaxation from the Alexandria database. Energies are from PBE-GGA.

Cell lengths 4.442, 6.294, 4.442 Å; angles 90.00, 90.00, 90.00 degrees
Element x y z (fractional)
Sc (0.500, 0.500, 0.500)
Se (0.000, 0.500, 0.000)
Br (0.000, 0.000, 0.000)
V (0.500, 0.000, 0.000)
V (0.000, 0.000, 0.500)

Calculated values
As for the density of states at the Fermi level: 1.095 states/eV/atom. As for the uncorrected formation energy: 74.5 kJ per mole of atoms.

***

Entry 10:
Here is ScVSe2Br after structural relaxation from the Alexandria database. Energies are from PBE-GGA.

Cell lengths 5.203, 5.203, 5.079 Å; angles 90.00, 90.00, 90.00 degrees
Element x y z (fractional)
V (0.500, 0.500, 0.500)
Se (0.500, 0.000, 0.000)
Sc (0.000, 0.000, 0.000)
Br (0.000, 0.000, 0.500)
Se (0.000, 0.500, 0.000)

Calculated values
As for the density of states at the Fermi level: 1.190 states/eV/atom. Its energy above the most stable polymorph in this dataset is 0.50 eV per formula unit. As for the uncorrected formation energy: -28.5 kJ per mole of atoms.

***

Entry 11:
Here is ScVSe2Br after structural relaxation from the Alexandria database. Energies are from PBE-GGA.

Cell lengths 4.959, 4.959, 4.901 Å; angles 90.00, 90.00, 90.00 degrees
Element x y z (fractional)
Sc (0.500, 0.500, 0.500)
Br (0.000, 0.000, 0.500)
V (0.000, 0.000, 0.000)
Se (0.000, 0.500, 0.000)
Se (0.500, 0.000, 0.000)

Calculated values
As for the density of states at the Fermi level: 0.784 states/eV/atom. Its energy above the most stable polymorph in this dataset is 0.00 eV per formula unit. As for the uncorrected formation energy: -38.2 kJ per mole of atoms.

***

Entry 12:
Here is ScWSeBr2 after structural relaxation from the Alexandria database. Energies are from PBE-GGA.

Cell lengths 5.161, 5.161, 4.972 Å; angles 90.00, 90.00, 90.00 degrees
Element x y z (fractional)
Br (0.000, 0.500, 0.000)
W (0.000, 0.000, 0.000)
Se (0.000, 0.000, 0.500)
Br (0.500, 0.000, 0.000)
Sc (0.500, 0.500, 0.500)

Calculated values
As for the density of states at the Fermi level: 1.155 states/eV/atom. Its energy above the most stable polymorph in this dataset is 0.13 eV per formula unit. As for the uncorrected formation energy: 34.2 kJ per mole of atoms.